[1]
{"formula": "CrPb5", "functional": "PBE-GGA", "state": "optimized geometry", "lattice": [[1.734, 5.917, 0.451], [-1.734, 5.917, 0.451], [0.000, 2.594, 8.558]], "species": ["Pb", "Pb", "Pb", "Cr", "Pb", "Pb"], "fractional_positions": [[0.028, 0.028, 0.444], [0.695, 0.695, 0.646], [0.360, 0.360, 0.244], [0.027, 0.027, 0.945], [0.386, 0.386, 0.798], [0.670, 0.670, 0.090]], "e_above_lowest_polymorph_mev_per_atom": 24}

***

[2]
{"formula": "Cr7Pb6", "functional": "PBE-GGA", "state": "optimized geometry", "lattice": [[10.332, -0.025, -0.015], [8.722, 5.539, -0.015], [8.722, 2.524, 4.931]], "species": ["Pb", "Cr", "Pb", "Pb", "Pb", "Pb", "Cr", "Cr", "Cr", "Cr", "Cr", "Pb", "Cr"], "fractional_positions": [[0.833, 0.833, 0.833], [0.910, 0.420, 0.420], [0.060, 0.060, 0.060], [0.167, 0.167, 0.167], [0.668, 0.668, 0.668], [0.940, 0.940, 0.940], [0.500, 0.500, 0.500], [0.420, 0.910, 0.420], [0.580, 0.580, 0.090], [0.580, 0.090, 0.580], [0.090, 0.580, 0.580], [0.332, 0.332, 0.332], [0.420, 0.420, 0.910]]}

***

[3]
{"formula": "CrPb3", "functional": "PBE-GGA", "state": "optimized geometry", "lattice": [[-3.180, 2.572, 10.095], [-0.248, 0.911, 10.851], [-0.169, 4.262, 10.022]], "species": ["Pb", "Pb", "Cr", "Pb"], "fractional_positions": [[0.262, 0.262, 0.262], [0.500, 0.500, 0.500], [0.000, 0.000, 0.000], [0.738, 0.738, 0.738]]}

***

| no. | formation enthalpy at 0 K (eV/f.u.) |
| --- | --- |
| 1 | 1.46 |
| 2 | 9.38 |
| 3 | 1.60 |